{"formula": "MnTc2NiF", "functional": "PBE+U", "state": "relaxed", "spacegroup": "P4/mmm (123)", "vol_a3_per_atom": 14.41, "relative_energy_ev_per_atom": 0.000, "e_tot_ev_per_cell": -24.4, "lattice_angstrom": [[-3.456, -2.818, 0.168], [1.206, -1.657, -2.982], [2.400, -2.792, 2.522]], "species": ["Tc", "Tc", "Ni", "Mn", "F"], "fractional_positions": [[0.000, 0.000, 0.500], [0.500, 0.000, 0.000], [0.500, 0.500, 0.500], [0.000, 0.000, 0.000], [0.000, 0.500, 0.000]]}